(1)
First-principles (PBE) data for a relaxed AlAg2Pt crystal, as listed in Alexandria.

Results
Polymorph energy (0 for the lowest one), meV/atom: 121.7
Spin magnetization, μB/cell: 0.00
Total energy, eV for the cell shown: -16.412
Space group: R3m (160)
Formation energy, eV per atom: -0.2316

```
data_AlAg2Pt
_space_group_name_H-M_alt 'P 1'
_space_group_IT_number 1
_cell_length_a 9.105
_cell_length_b 9.105
_cell_length_c 9.105
_cell_angle_alpha 18.50
_cell_angle_beta 18.50
_cell_angle_gamma 18.50
loop_
_space_group_symop_operation_xyz
'x,y,z'
loop_
_atom_site_label
_atom_site_fract_x
_atom_site_fract_y
_atom_site_fract_z
Al1 0.000 0.000 0.000
Ag1 0.252 0.252 0.252
Ag2 0.495 0.495 0.495
Pt1 0.738 0.738 0.738
```

---

(2)
First-principles (PBE) data for a relaxed Sr3TaAu crystal, as listed in Alexandria.

Results
Polymorph energy (0 for the lowest one), meV/atom: 327.5
Spin magnetization, μB/cell: 0.00
Total energy, eV for the cell shown: -15.223
Space group: Pm-3m (221)
Formation energy, eV per atom: 0.9905

```
data_Sr3TaAu
_space_group_name_H-M_alt 'P 1'
_space_group_IT_number 1
_cell_length_a 5.827
_cell_length_b 5.827
_cell_length_c 5.827
_cell_angle_alpha 90.00
_cell_angle_beta 90.00
_cell_angle_gamma 90.00
loop_
_space_group_symop_operation_xyz
'x,y,z'
loop_
_atom_site_label
_atom_site_fract_x
_atom_site_fract_y
_atom_site_fract_z
Sr1 0.000 0.000 0.500
Sr2 0.000 0.500 0.000
Sr3 0.500 0.000 0.000
Ta1 0.000 0.000 0.000
Au1 0.500 0.500 0.500
```

---

(3)
First-principles (PBE) data for a relaxed Y2MgTe crystal, as listed in Alexandria.

Results
Polymorph energy (0 for the lowest one), meV/atom: 97.7
Spin magnetization, μB/cell: 0.00
Total energy, eV for the cell shown: -19.760
Formation energy without anion corrections, eV/atom: -0.524
Space group: R3m (160)

```
data_Y2MgTe
_space_group_name_H-M_alt 'P 1'
_space_group_IT_number 1
_cell_length_a 9.216
_cell_length_b 9.216
_cell_length_c 9.216
_cell_angle_alpha 25.03
_cell_angle_beta 25.03
_cell_angle_gamma 25.03
loop_
_space_group_symop_operation_xyz
'x,y,z'
loop_
_atom_site_label
_atom_site_fract_x
_atom_site_fract_y
_atom_site_fract_z
Y1 0.000 0.000 0.000
Y2 0.184 0.184 0.184
Mg1 0.759 0.759 0.759
Te1 0.591 0.591 0.591
```

---

(4)
First-principles (PBE) data for a relaxed Nd3Dy4Ho2 crystal, as listed in Alexandria.

Results
Polymorph energy (0 for the lowest one), meV/atom: 82.4
Spin magnetization, μB/cell: 0.00
Total energy, eV for the cell shown: -81.939
Space group: C2/c (15)
Formation energy, eV per atom: 0.0998

```
data_Nd3Dy4Ho2
_space_group_name_H-M_alt 'P 1'
_space_group_IT_number 1
_cell_length_a 10.152
_cell_length_b 10.152
_cell_length_c 6.087
_cell_angle_alpha 95.94
_cell_angle_beta 95.94
_cell_angle_gamma 70.10
loop_
_space_group_symop_operation_xyz
'x,y,z'
loop_
_atom_site_label
_atom_site_fract_x
_atom_site_fract_y
_atom_site_fract_z
Nd1 0.103 0.897 0.750
Nd2 0.229 0.437 0.918
Nd3 0.437 0.229 0.418
Nd4 0.563 0.771 0.582
Nd5 0.771 0.563 0.082
Nd6 0.897 0.103 0.250
Dy1 0.081 0.349 0.352
Dy2 0.316 0.586 0.482
Dy3 0.349 0.081 0.852
Dy4 0.414 0.684 0.018
Dy5 0.586 0.316 0.982
Dy6 0.651 0.919 0.148
Dy7 0.684 0.414 0.518
Dy8 0.919 0.651 0.648
Ho1 0.018 0.747 0.185
Ho2 0.253 0.982 0.315
Ho3 0.747 0.018 0.685
Ho4 0.982 0.253 0.815
```

---

The lowest total energy belongs to which entry? Nd3Dy4Ho2

---

What is the formula in the fourth record? Nd3Dy4Ho2